No. 1
VASP calculation (GGA-PBE) on a geometry-optimized Sc2TlHg structure.

abc: 3.8501 3.8501 6.3832
angles: 90.00 90.00 90.00
Last column: nearest neighbours and their distance in Å.
Sites, in units of the cell vectors:
Sc (0.0000, 0.0000, 0.0000)  4 Hg 3.04, 2 Tl 3.17-3.22, 4 Sc 3.24
Sc (0.5000, 0.5000, 0.2749)  4 Tl 3.09, 2 Hg 3.11-3.27, 4 Sc 3.24
Tl (0.0000, 0.0000, 0.5042)  6 Sc 3.09-3.22, 4 Hg 3.27
Hg (0.5000, 0.5000, 0.7875)  6 Sc 3.04-3.27, 4 Tl 3.27

Values from the calculation:
**Total DFT energy (no corrections)**: -3.9997 eV per atom
**E_form**: -16.1 kJ per mole of atoms

=====

No. 2
VASP calculation (GGA-PBE) on a geometry-optimized Sc2Tl2Hg structure.

abc: 7.8509 7.8509 3.9363
angles: 90.00 90.00 90.00
Last column: nearest neighbours and their distance in Å.
Sites, in units of the cell vectors:
Sc (0.1689, 0.3311, 0.0000)  6 Tl 2.94-3.10
Sc (0.3311, 0.8311, 0.0000)  6 Tl 2.94-3.10
Sc (0.6689, 0.1689, 0.0000)  6 Tl 2.94-3.10
Sc (0.8311, 0.6689, 0.0000)  6 Tl 2.94-3.10
Tl (0.1346, 0.6346, 0.5000)  6 Sc 2.94-3.10, 1 Tl 2.99, 2 Hg 3.06
Tl (0.3654, 0.1346, 0.5000)  6 Sc 2.94-3.10, 1 Tl 2.99, 2 Hg 3.06
Tl (0.6346, 0.8654, 0.5000)  6 Sc 2.94-3.10, 1 Tl 2.99, 2 Hg 3.06
Tl (0.8654, 0.3654, 0.5000)  6 Sc 2.94-3.10, 1 Tl 2.99, 2 Hg 3.06
Hg (0.0000, 0.0000, 0.5000)  4 Tl 3.06
Hg (0.5000, 0.5000, 0.5000)  4 Tl 3.06

Values from the calculation:
**Total DFT energy (no corrections)**: -3.6593 eV per atom
**E above lowest polymorph**: 6.6 kJ per mole of atoms
**E_form**: -11.6 kJ per mole of atoms

=====

No. 3
VASP calculation (GGA-PBE) on a geometry-optimized Sc2TlHg structure.

abc: 5.1092 5.1092 5.1092
angles: 60.00 60.00 60.00
Last column: nearest neighbours and their distance in Å.
Sites, in units of the cell vectors:
Sc (0.0000, 0.0000, 0.0000)  4 Tl 3.13, 4 Sc 3.13
Sc (0.2500, 0.2500, 0.2500)  4 Hg 3.13, 4 Sc 3.13
Tl (0.7500, 0.7500, 0.7500)  4 Hg 3.13, 4 Sc 3.13
Hg (0.5000, 0.5000, 0.5000)  4 Sc 3.13, 4 Tl 3.13

Values from the calculation:
**Total DFT energy (no corrections)**: -3.7591 eV per atom
**E_form**: 7.1 kJ per mole of atoms

=====

No. 4
VASP calculation (GGA-PBE) on a geometry-optimized Sc2TlHg3 structure.

abc: 3.6280 3.6280 10.7160
angles: 90.00 90.00 90.00
Last column: nearest neighbours and their distance in Å.
Sites, in units of the cell vectors:
Sc (0.0000, 0.0000, 0.1625)  8 Hg 3.00-3.10
Sc (0.0000, 0.0000, 0.8375)  8 Hg 3.00-3.10
Tl (0.0000, 0.0000, 0.5000)  8 Hg 3.29, 2 Sc 3.62, 4 Tl 3.63
Hg (0.5000, 0.5000, 0.0000)  8 Sc 3.10, 2 Hg 3.29
Hg (0.5000, 0.5000, 0.3073)  4 Sc 3.00, 1 Hg 3.29, 4 Tl 3.29
Hg (0.5000, 0.5000, 0.6927)  4 Sc 3.00, 1 Hg 3.29, 4 Tl 3.29

Values from the calculation:
**Total DFT energy (no corrections)**: -2.9092 eV per atom
**E_form**: -24.5 kJ per mole of atoms

=====

Number 4 is which compound?
Sc2TlHg3

=====

Among the records above, which one has the highest E_form?
number 3

=====

The highest total DFT energy (no corrections) belongs to which entry?
Sc2TlHg3

=====

Among the records above, which one has the lowest E_form?
Sc2TlHg3